Entry 1:
Li2NdCd2Pb2 | PBE | relaxed

abc: 4.811 4.811 8.926
angles: 105.37 105.37 59.84
Atoms (fractional coordinates):
1 Li 0.143 0.143 0.431
2 Li 0.857 0.857 0.569
3 Nd 0.000 0.000 0.000
4 Cd 0.442 0.442 0.330
5 Cd 0.558 0.558 0.670
6 Pb 0.266 0.266 0.796
7 Pb 0.734 0.734 0.204

Total moment   0.0 μB per formula unit
Raw total energy   -2.8838 eV/atom
Fermi-level density of states   0.32 states/eV/atom
Energy relative to the elements   -0.33 eV/atom


Entry 2:
Li2NdCdPd | PBE | relaxed

abc: 7.175 7.175 7.175
angles: 148.02 146.32 47.13
Atoms (fractional coordinates):
1 Li 0.000 0.000 0.000
2 Li 0.654 0.154 0.500
3 Nd 0.282 0.782 0.500
4 Cd 0.506 0.506 0.000
5 Pd 0.853 0.353 0.500

Total moment   0.0 μB per formula unit
Raw total energy   -3.2989 eV/atom
Fermi-level density of states   0.55 states/eV/atom
Energy relative to the elements   -0.36 eV/atom


Entry 3:
LiNdCdPd | PBE | relaxed

abc: 4.916 4.916 4.916
angles: 60.00 60.00 60.00
Atoms (fractional coordinates):
1 Li 0.000 0.000 0.000
2 Nd 0.250 0.250 0.250
3 Cd 0.750 0.750 0.750
4 Pd 0.500 0.500 0.500

Total moment   0.0 μB per formula unit
Raw total energy   -3.6219 eV/atom
Fermi-level density of states   1.18 states/eV/atom
Energy relative to the elements   -0.42 eV/atom


Entry 4:
Li2NdCdPd4 | PBE | relaxed

abc: 8.661 8.661 8.661
angles: 29.87 29.87 29.87
Atoms (fractional coordinates):
1 Li 0.236 0.236 0.236
2 Li 0.764 0.764 0.764
3 Nd 0.000 0.000 0.000
4 Cd 0.500 0.500 0.500
5 Pd 0.120 0.120 0.120
6 Pd 0.391 0.391 0.391
7 Pd 0.609 0.609 0.609
8 Pd 0.880 0.880 0.880

Total moment   0.0 μB per formula unit
Raw total energy   -4.2964 eV/atom
Fermi-level density of states   0.48 states/eV/atom
Energy relative to the elements   -0.51 eV/atom


Entry 5:
LiPrNdCd | PBE | relaxed

abc: 5.447 5.447 5.447
angles: 60.00 60.00 60.00
Atoms (fractional coordinates):
1 Li 0.000 0.000 0.000
2 Pr 0.750 0.750 0.750
3 Nd 0.250 0.250 0.250
4 Cd 0.500 0.500 0.500

Total moment   0.4 μB per formula unit
Raw total energy   -3.2154 eV/atom
Fermi-level density of states   1.51 states/eV/atom
Energy relative to the elements   -0.12 eV/atom


Entry 6:
LiNdCdRu | PBE | relaxed

abc: 4.845 4.845 4.845
angles: 60.00 60.00 60.00
Atoms (fractional coordinates):
1 Li 0.000 0.000 0.000
2 Nd 0.250 0.250 0.250
3 Cd 0.750 0.750 0.750
4 Ru 0.500 0.500 0.500

Total moment   0.0 μB per formula unit
Raw total energy   -4.2632 eV/atom
Fermi-level density of states   0.46 states/eV/atom
Energy relative to the elements   -0.05 eV/atom


Entry 7:
LiNdSc2Cd4 | PBE | relaxed

abc: 9.079 9.079 9.079
angles: 32.02 32.02 32.02
Atoms (fractional coordinates):
1 Li 0.000 0.000 0.000
2 Nd 0.500 0.500 0.500
3 Sc 0.255 0.255 0.255
4 Sc 0.745 0.745 0.745
5 Cd 0.111 0.111 0.111
6 Cd 0.372 0.372 0.372
7 Cd 0.628 0.628 0.628
8 Cd 0.889 0.889 0.889

Total moment   0.0 μB per formula unit
Raw total energy   -3.1114 eV/atom
Fermi-level density of states   0.93 states/eV/atom
Energy relative to the elements   -0.24 eV/atom


Entry 8:
LiNd2CdSe4 | PBE | relaxed

abc: 7.194 4.167 7.327
angles: 90.00 108.73 90.00
Atoms (fractional coordinates):
1 Li 0.000 0.000 0.000
2 Nd 0.000 0.500 0.500
3 Nd 0.500 0.000 0.500
4 Cd 0.500 0.500 0.000
5 Se 0.250 0.000 0.755
6 Se 0.250 0.500 0.244
7 Se 0.750 0.000 0.245
8 Se 0.750 0.500 0.756

ΔE_f (raw)   -1373.2 meV/atom
Total moment   0.0 μB per formula unit
Raw total energy   -4.6611 eV/atom
Fermi-level density of states   0.55 states/eV/atom


Entry 9:
LiNdCdSi | PBE | relaxed

abc: 5.004 5.004 5.004
angles: 60.00 60.00 60.00
Atoms (fractional coordinates):
1 Li 0.000 0.000 0.000
2 Nd 0.500 0.500 0.500
3 Cd 0.250 0.250 0.250
4 Si 0.750 0.750 0.750

ΔE_f (raw)   -297.2 meV/atom
Total moment   0.0 μB per formula unit
Raw total energy   -3.5521 eV/atom
Fermi-level density of states   0.48 states/eV/atom


Entry 10:
LiNdThCd | PBE | relaxed

abc: 5.384 5.384 5.384
angles: 60.00 60.00 60.00
Atoms (fractional coordinates):
1 Li 0.000 0.000 0.000
2 Nd 0.250 0.250 0.250
3 Th 0.750 0.750 0.750
4 Cd 0.500 0.500 0.500

Total moment   0.0 μB per formula unit
Raw total energy   -3.7411 eV/atom
Fermi-level density of states   1.05 states/eV/atom
Energy relative to the elements   0.01 eV/atom


Entry 11:
Li2NdTl2Cd2 | PBE | relaxed

abc: 5.028 5.028 8.004
angles: 103.04 103.04 57.19
Atoms (fractional coordinates):
1 Li 0.133 0.133 0.434
2 Li 0.867 0.867 0.566
3 Nd 0.000 0.000 0.000
4 Tl 0.283 0.283 0.805
5 Tl 0.717 0.717 0.195
6 Cd 0.419 0.419 0.309
7 Cd 0.581 0.581 0.691

Total moment   0.0 μB per formula unit
Raw total energy   -2.4206 eV/atom
Fermi-level density of states   0.49 states/eV/atom
Energy relative to the elements   -0.26 eV/atom


Entry 12:
LiNdY2Cd4 | PBE | relaxed

abc: 9.209 9.209 9.209
angles: 32.92 32.92 32.92
Atoms (fractional coordinates):
1 Li 0.000 0.000 0.000
2 Nd 0.500 0.500 0.500
3 Y 0.254 0.254 0.254
4 Y 0.746 0.746 0.746
5 Cd 0.117 0.117 0.117
6 Cd 0.373 0.373 0.373
7 Cd 0.627 0.627 0.627
8 Cd 0.883 0.883 0.883

Total moment   0.0 μB per formula unit
Raw total energy   -3.1880 eV/atom
Fermi-level density of states   1.01 states/eV/atom
Energy relative to the elements   -0.28 eV/atom


Entry 13:
Li2CdNi | PBE | relaxed

abc: 4.385 4.385 4.385
angles: 119.59 119.59 90.72
Atoms (fractional coordinates):
1 Li 0.000 0.000 0.000
2 Li 0.750 0.250 0.500
3 Cd 0.250 0.750 0.500
4 Ni 0.500 0.500 0.000

Total moment   0.0 μB per formula unit
Raw total energy   -2.7187 eV/atom
Fermi-level density of states   0.39 states/eV/atom
Energy relative to the elements   -0.09 eV/atom


Entry 14:
Li4CdNi2 | PBE | relaxed

abc: 7.164 7.164 7.164
angles: 141.87 141.87 55.03
Atoms (fractional coordinates):
1 Li 0.000 0.500 0.500
2 Li 0.212 0.212 0.000
3 Li 0.500 0.000 0.500
4 Li 0.788 0.788 0.000
5 Cd 0.000 0.000 0.000
6 Ni 0.411 0.411 0.000
7 Ni 0.589 0.589 0.000

Total moment   0.3 μB per formula unit
Raw total energy   -2.4115 eV/atom
Fermi-level density of states   1.07 states/eV/atom
Energy relative to the elements   0.46 eV/atom


Entry 15:
Li2CdNi | PBE | relaxed

abc: 2.810 3.876 5.635
angles: 90.00 90.00 90.00
Atoms (fractional coordinates):
1 Li 0.000 0.000 0.000
2 Li 0.500 0.500 0.260
3 Cd 0.500 0.500 0.725
4 Ni 0.000 0.000 0.485

Total moment   0.0 μB per formula unit
Raw total energy   -2.6679 eV/atom
Fermi-level density of states   0.40 states/eV/atom
Energy relative to the elements   -0.04 eV/atom


Entry 16:
LiCdNi | PBE | relaxed

abc: 4.255 4.255 4.255
angles: 60.00 60.00 60.00
Atoms (fractional coordinates):
1 Li 0.000 0.000 0.000
2 Cd 0.500 0.500 0.500
3 Ni 0.250 0.250 0.250

Total moment   0.0 μB per formula unit
Raw total energy   -2.6909 eV/atom
Fermi-level density of states   0.55 states/eV/atom
Energy relative to the elements   0.18 eV/atom


Entry 17:
Li2Cd8Ni3 | PBE | relaxed

abc: 7.820 4.424 7.824
angles: 90.00 111.92 90.00
Atoms (fractional coordinates):
1 Li 0.242 0.000 0.256
2 Li 0.758 0.000 0.744
3 Cd 0.127 0.500 0.372
4 Cd 0.141 0.000 0.879
5 Cd 0.380 0.000 0.640
6 Cd 0.383 0.500 0.117
7 Cd 0.617 0.500 0.883
8 Cd 0.620 0.000 0.360
9 Cd 0.859 0.000 0.121
10 Cd 0.873 0.500 0.628
11 Ni 0.000 0.000 0.500
12 Ni 0.236 0.500 0.736
13 Ni 0.764 0.500 0.264

Total moment   0.0 μB per formula unit
Raw total energy   -2.1585 eV/atom
Fermi-level density of states   0.53 states/eV/atom
Energy relative to the elements   0.03 eV/atom


Entry 18:
LiCdNi2 | PBE | relaxed

abc: 4.620 4.620 4.633
angles: 101.12 101.12 34.53
Atoms (fractional coordinates):
1 Li 0.000 0.000 0.000
2 Cd 0.765 0.765 0.263
3 Ni 0.246 0.246 0.749
4 Ni 0.518 0.518 0.550

Total moment   0.2 μB per formula unit
Raw total energy   -3.5601 eV/atom
Fermi-level density of states   0.97 states/eV/atom
Energy relative to the elements   0.04 eV/atom


Entry 19:
LiCdNi | PBE | relaxed

abc: 4.392 4.392 5.433
angles: 90.48 90.48 60.35
Atoms (fractional coordinates):
1 Li 0.167 0.167 0.395
2 Li 0.833 0.833 0.605
3 Cd 0.167 0.167 0.879
4 Cd 0.833 0.833 0.121
5 Ni 0.500 0.500 0.279
6 Ni 0.500 0.500 0.721

Total moment   0.0 μB per formula unit
Raw total energy   -2.8650 eV/atom
Fermi-level density of states   0.51 states/eV/atom
Energy relative to the elements   0.01 eV/atom


Entry 20:
Li2Cd2Ni | PBE | relaxed

abc: 4.473 4.482 5.321
angles: 65.90 65.38 60.46
Atoms (fractional coordinates):
1 Li 0.192 0.192 0.424
2 Li 0.808 0.808 0.576
3 Cd 0.395 0.393 0.820
4 Cd 0.605 0.607 0.180
5 Ni 0.000 0.000 0.000

Total moment   0.0 μB per formula unit
Raw total energy   -2.4187 eV/atom
Fermi-level density of states   0.46 states/eV/atom
Energy relative to the elements   -0.13 eV/atom